No. 1
Here is an optimized crystal structure of ZrAsIr from Alexandria. Energies are from GGA-PBE.

Cell lengths 4.1761, 6.9247, 7.3217 Å; angles 90.00, 90.00, 90.00 degrees
Closest atoms and distances in Å follow each position.
Element x y z (fractional)
As 0.0000 0.7614 0.0154  3 Ir 2.45
As 0.0000 0.2386 0.0154  3 Ir 2.45
As 0.5000 0.2614 0.5154  3 Ir 2.45
As 0.5000 0.7386 0.5154  3 Ir 2.45
Ir 0.0000 0.2987 0.3452  3 As 2.45
Ir 0.0000 0.7013 0.3452  3 As 2.45
Ir 0.5000 0.7987 0.8452  3 As 2.45
Ir 0.5000 0.2013 0.8452  3 As 2.45
Zr 0.0000 0.0000 0.6383  6 As 2.91-3.22, 6 Ir 2.93-2.98
Zr 0.5000 0.5000 0.1383  6 As 2.91-3.22, 6 Ir 2.93-2.98
Zr 0.0000 0.5000 0.7116  6 As 2.87-3.03, 6 Ir 3.02-3.10
Zr 0.5000 0.0000 0.2116  6 As 2.87-3.03, 6 Ir 3.02-3.10

Output
E	-8.24	eV/atom
DOS(E_F)	0.265	states/eV/atom
SG	Imm2
ΔH_f (0 K)	-884	meV/atom

No. 2
Here is an optimized crystal structure of Sc2Co2Si from Alexandria. Energies are from GGA-PBE.

Cell lengths 6.1158, 6.1158, 4.0838 Å; angles 90.00, 90.00, 90.00 degrees
Closest atoms and distances in Å follow each position.
Element x y z (fractional)
Sc 0.1802 0.6802 0.5000  6 Co 2.61-2.81
Sc 0.6802 0.8198 0.5000  6 Co 2.61-2.81
Sc 0.8198 0.3198 0.5000  6 Co 2.61-2.81
Sc 0.3198 0.1802 0.5000  6 Co 2.61-2.81
Si 0.0000 0.0000 0.0000  4 Co 2.39
Si 0.5000 0.5000 0.0000  4 Co 2.39
Co 0.3675 0.8675 0.0000  1 Co 2.29, 2 Si 2.39
Co 0.8675 0.6325 0.0000  1 Co 2.29, 2 Si 2.39
Co 0.6325 0.1325 0.0000  1 Co 2.29, 2 Si 2.39
Co 0.1325 0.3675 0.0000  1 Co 2.29, 2 Si 2.39

Output
E	-6.92	eV/atom
formation energy from raw total energies	-0.465	eV/atom
DOS(E_F)	0.879	states/eV/atom
SG	P4/mbm
E above lowest polymorph	14.6	kJ per mole of atoms

No. 3
Here is an optimized crystal structure of GaTeIr from Alexandria. Energies are from GGA-PBE.

Cell lengths 5.8755, 3.8799, 6.7774 Å; angles 90.00, 112.86, 90.00 degrees
Closest atoms and distances in Å follow each position.
Element x y z (fractional)
Ga 0.6694 0.0000 0.8553  3 Ir 2.58, 1 Te 2.82
Ga 0.6694 0.5000 0.3553  3 Ir 2.58, 1 Te 2.82
Te 0.1489 0.0000 0.6815  3 Ir 2.62, 1 Ga 2.82
Te 0.1489 0.5000 0.1815  3 Ir 2.62, 1 Ga 2.82
Ir 0.9015 0.0000 0.2656  3 Ga 2.58, 3 Te 2.62
Ir 0.9015 0.5000 0.7656  3 Ga 2.58, 3 Te 2.62

Output
E	-5.05	eV/atom
formation energy from raw total energies	-0.037	eV/atom
DOS(E_F)	0.735	states/eV/atom
SG	Cm
E above lowest polymorph	14.4	kJ per mole of atoms

No. 4
Here is an optimized crystal structure of Te4Au2F from Alexandria. Energies are from GGA-PBE.

Cell lengths 8.2413, 7.9923, 8.0728 Å; angles 105.02, 118.92, 102.28 degrees
Closest atoms and distances in Å follow each position.
Element x y z (fractional)
Te 0.8871 0.1989 0.3258  3 Au 2.69-2.74
Te 0.3630 0.5511 0.1742  3 Au 2.69-2.74
Te 0.8731 0.5599 0.6712  3 Au 2.69-2.72
Te 0.5797 0.0093 0.5703  2 Au 2.76, 1 Te 3.03
Te 0.2167 0.0295 0.2217  1 F 2.11
Te 0.3770 0.1900 0.8288  3 Au 2.69-2.72
Te 0.6704 0.7406 0.9297  2 Au 2.76, 1 Te 3.03
Te 0.0336 0.7210 0.2784  1 F 2.11
Au 0.6250 0.3750 0.7500  4 Te 2.69-2.76
Au 0.6250 0.8750 0.2500  4 Te 2.69-2.76
Au 0.6250 0.3750 0.2500  4 Te 2.70-2.74
Au 0.1250 0.3750 0.7500  4 Te 2.72
F 0.1981 0.6435 0.5203  1 Te 2.11
F 0.0513 0.1064 0.9796  1 Te 2.11

Output
E	-3.32	eV/atom
formation energy from raw total energies	-0.318	eV/atom
DOS(E_F)	0.371	states/eV/atom
SG	P-1

No. 5
Here is an optimized crystal structure of ErOs3 from Alexandria. Energies are from GGA-PBE.

Cell lengths 4.5999, 5.7685, 5.7683 Å; angles 120.00, 90.00, 90.00 degrees
Closest atoms and distances in Å follow each position.
Element x y z (fractional)
Os 0.7500 0.8393 0.1608  8 Os 2.78-2.99, 4 Er 2.87-2.88
Os 0.7500 0.3215 0.1608  8 Os 2.78-2.99, 4 Er 2.87-2.88
Os 0.7500 0.8393 0.6785  8 Os 2.78-2.99, 4 Er 2.87-2.88
Os 0.2500 0.1607 0.8392  8 Os 2.78-2.99, 4 Er 2.87-2.88
Os 0.2500 0.6785 0.8393  8 Os 2.78-2.99, 4 Er 2.87-2.88
Os 0.2500 0.1607 0.3215  8 Os 2.78-2.99, 4 Er 2.87-2.88
Er 0.2500 0.6666 0.3333  12 Os 2.87-2.88
Er 0.7500 0.3334 0.6667  12 Os 2.87-2.88

Output
E	-9.21	eV/atom
DOS(E_F)	1.291	states/eV/atom
SG	P6_3/mmc
ΔH_f (0 K)	350	meV/atom

No. 6
Here is an optimized crystal structure of KOs2Cl from Alexandria. Energies are from GGA-PBE.

Cell lengths 5.9245, 5.9245, 5.9245 Å; angles 144.08, 114.61, 76.92 degrees
Closest atoms and distances in Å follow each position.
Element x y z (fractional)
K 0.2755 0.7755 0.5000  2 Cl 3.17, 2 Os 3.43
Os 0.9099 0.9099 0.0000  2 Os 2.30
Os 0.7594 0.2594 0.5000  2 Os 2.30
Cl 0.5551 0.5551 0.0000  2 Os 2.63

Output
E	-5.48	eV/atom
formation energy from raw total energies	0.871	eV/atom
DOS(E_F)	1.114	states/eV/atom
SG	Imm2
E above lowest polymorph	59.3	kJ per mole of atoms

No. 7
Here is an optimized crystal structure of TiMnPt4 from Alexandria. Energies are from GGA-PBE.

Cell lengths 3.7749, 4.9257, 6.2839 Å; angles 106.90, 72.52, 67.47 degrees
Closest atoms and distances in Å follow each position.
Element x y z (fractional)
Ti 0.0000 0.0000 0.0000  10 Pt 2.71-2.93, 2 Mn 2.81
Mn 0.5000 0.5000 0.5000  10 Pt 2.71-2.94, 2 Ti 2.81
Pt 0.8324 0.5071 0.8280  2 Mn 2.71, 3 Ti 2.74-2.93, 7 Pt 2.76-2.82
Pt 0.3316 0.0093 0.3275  2 Ti 2.71, 3 Mn 2.74-2.94, 7 Pt 2.76-2.83
Pt 0.1676 0.4929 0.1720  2 Mn 2.71, 3 Ti 2.74-2.93, 7 Pt 2.76-2.82
Pt 0.6684 0.9907 0.6725  2 Ti 2.71, 3 Mn 2.74-2.94, 7 Pt 2.76-2.83

Output
E	-7.50	eV/atom
DOS(E_F)	0.709	states/eV/atom
SG	C2/m
ΔH_f (0 K)	-628	meV/atom
E above lowest polymorph	0.0	kJ per mole of atoms

No. 8
Here is an optimized crystal structure of Cs2HOsI6 from Alexandria. Energies are from GGA-PBE.

Cell lengths 8.1936, 8.1936, 8.2206 Å; angles 60.11, 60.11, 90.00 degrees
Closest atoms and distances in Å follow each position.
Element x y z (fractional)
Cs 0.7500 0.2500 0.5000  12 I 4.10-4.11
Cs 0.2500 0.7500 0.5000  12 I 4.10-4.11
I 0.2335 0.2335 0.5331  1 Os 2.72
I 0.7665 0.7665 0.4669  1 Os 2.72
I 0.2351 0.2351 0.0000  1 Os 2.72
I 0.7649 0.7649 0.0000  1 Os 2.72
I 0.7649 0.2351 0.0000  1 Os 2.72
I 0.2351 0.7649 0.0000  1 Os 2.72
Os 0.0000 0.0000 0.0000  6 I 2.72
H 0.5000 0.5000 0.0000  6 I 3.07-3.11

Output
E	-2.91	eV/atom
DOS(E_F)	0.535	states/eV/atom
SG	I4/mmm

No. 9
Here is an optimized crystal structure of Ti2NbPOs from Alexandria. Energies are from GGA-PBE.

Cell lengths 4.6594, 4.5657, 4.6594 Å; angles 90.00, 90.00, 90.00 degrees
Closest atoms and distances in Å follow each position.
Element x y z (fractional)
P 0.0000 0.5000 0.0000  2 Nb 2.28
Nb 0.0000 0.0000 0.0000  2 P 2.28, 4 Ti 2.33
Os 0.5000 0.5000 0.5000  8 Ti 3.26, 4 P 3.29
Ti 0.0000 0.0000 0.5000  2 Nb 2.33
Ti 0.5000 0.0000 0.0000  2 Nb 2.33

Output
E	-7.18	eV/atom
DOS(E_F)	1.106	states/eV/atom
SG	P4/mmm
ΔH_f (0 K)	1318	meV/atom

No. 10
Here is an optimized crystal structure of LaFe2Pt from Alexandria. Energies are from GGA-PBE.

Cell lengths 3.3605, 3.3605, 6.5841 Å; angles 90.00, 90.00, 90.00 degrees
Closest atoms and distances in Å follow each position.
Element x y z (fractional)
Fe 0.0000 0.0000 0.9224  1 Fe 2.27
Fe 0.0000 0.0000 0.5776  1 Fe 2.27
La 0.5000 0.5000 0.2500  8 Fe 3.21, 2 Pt 3.29, 4 La 3.36
Pt 0.5000 0.5000 0.7500  8 Fe 2.63

Output
E	-6.90	eV/atom
DOS(E_F)	0.939	states/eV/atom
SG	P4/mmm
ΔH_f (0 K)	73	meV/atom

No. 11
Here is an optimized crystal structure of ScZn2CuRu from Alexandria. Energies are from GGA-PBE.

Cell lengths 4.3691, 4.7843, 4.3691 Å; angles 90.00, 90.00, 90.00 degrees
Closest atoms and distances in Å follow each position.
Element x y z (fractional)
Sc 0.0000 0.5000 0.0000  2 Cu 2.39
Ru 0.5000 0.5000 0.5000  4 Sc 3.09, 8 Zn 3.24
Zn 0.0000 0.0000 0.5000  2 Cu 2.18
Zn 0.5000 0.0000 0.0000  2 Cu 2.18
Cu 0.0000 0.0000 0.0000  4 Zn 2.18, 2 Sc 2.39

Output
E	-3.88	eV/atom
DOS(E_F)	0.547	states/eV/atom
SG	P4/mmm
ΔH_f (0 K)	566	meV/atom

No. 12
Here is an optimized crystal structure of Er2OsO6 from Alexandria. Energies are from GGA-PBE.

Cell lengths 4.9579, 4.9579, 9.8932 Å; angles 90.00, 90.00, 90.00 degrees
Closest atoms and distances in Å follow each position.
Element x y z (fractional)
Er 0.0000 0.0000 0.3306  6 O 2.21-2.30
Er 0.5000 0.5000 0.8306  6 O 2.21-2.30
Er 0.5000 0.5000 0.1694  6 O 2.21-2.30
Er 0.0000 0.0000 0.6694  6 O 2.21-2.30
Os 0.0000 0.0000 0.0000  6 O 1.93-1.95
Os 0.5000 0.5000 0.5000  6 O 1.93-1.95
O 0.3129 0.3129 0.3535  1 Os 1.95
O 0.6871 0.6871 0.3535  1 Os 1.95
O 0.1871 0.8129 0.8535  1 Os 1.95
O 0.8129 0.1871 0.8535  1 Os 1.95
O 0.1871 0.8129 0.1465  1 Os 1.95
O 0.8129 0.1871 0.1465  1 Os 1.95
O 0.3129 0.3129 0.6465  1 Os 1.95
O 0.6871 0.6871 0.6465  1 Os 1.95
O 0.2754 0.2754 0.0000  1 Os 1.93
O 0.7246 0.7246 0.0000  1 Os 1.93
O 0.2246 0.7754 0.5000  1 Os 1.93
O 0.7754 0.2246 0.5000  1 Os 1.93

Output
E	-7.98	eV/atom
formation energy from raw total energies	-2.408	eV/atom
DOS(E_F)	0.326	states/eV/atom
SG	P4_2/mnm
E above lowest polymorph	0.2	kJ per mole of atoms